# Li2CaTl (meta-GGA SCAN, single point on PBEsol structure)
data_Li2CaTl
_chemical_formula_sum 'Li8 Ca4 Tl4'
_space_group_name_H-M_alt 'F -4 3 m'
_space_group_IT_number 216
_space_group_name_Hall 'F -4 2 3'
_cell_length_a 7.2298
_cell_length_b 7.2298
_cell_length_c 7.2298
_cell_angle_alpha 90.00
_cell_angle_beta 90.00
_cell_angle_gamma 90.00
loop_
_atom_site_label
_atom_site_fract_x
_atom_site_fract_y
_atom_site_fract_z
_atom_site_occupancy
Li1 0.0000 0.0000 0.0000 1
Li2 0.2500 0.2500 0.2500 1
Ca1 0.2500 0.2500 0.7500 1
Tl1 0.0000 0.0000 0.5000 1
# **Magnetic moment**: 0.00 Bohr magnetons per cell
# **Calculated total energy**: -22.029 eV per atom
# **Energy of formation from the pure elements**: -0.3289 eV per atom
# **Theoretical density**: 4.5 g cm⁻³
# **DOS at the Fermi energy**: 10.86 states/eV per cell